VASP calculation (PBE) on a relaxed structure of Ac3La4Pr5.

The space group is P-1 (No. 2) and the conventional cell measures 6.5814, 7.6122 and 9.2550 Å, with angles of 89.67, 89.87 and 89.88 degrees. The inequivalent atoms are Ac at (0.0000, 0.0000, 0.0000), Ac at (0.4995, 0.2528, 0.0006), La at (0.1661, 0.7482, 0.6629), La at (0.3300, 0.4997, 0.3385), Pr at (0.0000, 0.5000, 0.0000), Pr at (0.1675, 0.2512, 0.6638) and Pr at (0.3341, 0.0002, 0.3383).

Its crystal system is triclinic. For the formation enthalpy at 0 K, the calculation gives 0.022 eV/atom. The calculation puts the calculated total energy at -4.639 eV/atom. The value obtained for the calculated volume is 464 Å³/cell.